A relaxed Na5Cd2Pb4 crystal, computed with PBE. Values from VASP.

Geometry as Quantum ESPRESSO input:
```
&SYSTEM
  ibrav = 0, nat = 11, ntyp = 3
/
ATOMIC_SPECIES
Na 22.99 Na.upf
Cd 112.41 Cd.upf
Pb 207.20 Pb.upf
ATOMIC_POSITIONS crystal
Na 0.000 0.000 0.000
Na 0.344 0.344 0.070
Na 0.402 0.402 0.696
Na 0.598 0.598 0.304
Na 0.656 0.656 0.930
Cd 0.215 0.215 0.223
Cd 0.785 0.785 0.777
Pb 0.182 0.182 0.583
Pb 0.455 0.455 0.341
Pb 0.545 0.545 0.659
Pb 0.818 0.818 0.417
CELL_PARAMETERS angstrom
11.215 -1.726 0.000
11.215 1.726 0.000
-0.365 0.000 8.477
```

space-group type = C2/m (12)
formation energy from the elements = -56 meV/atom
excess energy over the best structure of this formula in the dataset = 48 meV per atom